# 1
CoBNO after structural relaxation, computed with GGA+U.

Properties
DFT total energy (eV per atom): -6.12

Lattice parameters (Å, degrees): 3.2884 3.2884 7.1730 90.00 90.00 90.00
Last column: nearest neighbours and their distance in Å.
Sites, in units of the cell vectors:
Co: 0.2500 0.2500 0.1426  4 O 1.94, 1 N 2.10
Co: 0.7500 0.7500 0.8574  4 O 1.94, 1 N 2.10
B: 0.2500 0.7500 0.5000  4 N 1.71
B: 0.7500 0.2500 0.5000  4 N 1.71
N: 0.2500 0.2500 0.4355  4 B 1.71
N: 0.7500 0.7500 0.5645  4 B 1.71
O: 0.2500 0.7500 0.0000  4 Co 1.94
O: 0.7500 0.2500 0.0000  4 Co 1.94

# 2
CoBNO after structural relaxation, computed with GGA+U.

Properties
DFT total energy (eV per atom): -7.23

Lattice parameters (Å, degrees): 4.7968 6.1532 4.4081 90.00 90.00 90.00
Last column: nearest neighbours and their distance in Å.
Sites, in units of the cell vectors:
Co: 0.0624 0.1519 0.0000  1 N 1.99, 3 O 2.01-2.04
Co: 0.4376 0.1519 0.5000  1 N 1.99, 3 O 2.01-2.04
Co: 0.5624 0.8481 0.0000  1 N 1.99, 3 O 2.01-2.04
Co: 0.9376 0.8481 0.5000  1 N 1.99, 3 O 2.01-2.04
B: 0.0980 0.5891 0.9821  3 N 1.54-1.55, 1 O 1.60
B: 0.4020 0.5891 0.4821  3 N 1.54-1.55, 1 O 1.60
B: 0.5980 0.4109 0.9821  3 N 1.54-1.55, 1 O 1.60
B: 0.9020 0.4109 0.4821  3 N 1.54-1.55, 1 O 1.60
N: 0.1115 0.5706 0.6308  3 B 1.54-1.55
N: 0.3885 0.5706 0.1308  3 B 1.54-1.55
N: 0.6115 0.4294 0.6308  3 B 1.54-1.55
N: 0.8885 0.4294 0.1308  3 B 1.54-1.55
O: 0.0157 0.1706 0.5475  1 B 1.60
O: 0.4843 0.1706 0.0475  1 B 1.60
O: 0.5157 0.8294 0.5475  1 B 1.60
O: 0.9843 0.8294 0.0475  1 B 1.60

# 3
CoBNO after structural relaxation, computed with GGA+U.

Properties
DFT total energy (eV per atom): -7.16

Lattice parameters (Å, degrees): 2.6645 5.4450 4.4831 90.00 90.00 90.00
Last column: nearest neighbours and their distance in Å.
Sites, in units of the cell vectors:
Co: 0.0000 0.1498 0.0000  2 N 1.99-2.02, 2 O 2.04
Co: 0.0000 0.8502 0.5000  2 N 1.99-2.02, 2 O 2.04
B: 0.5000 0.3509 0.5083  2 O 1.51-1.55, 2 N 1.56
B: 0.5000 0.6491 0.0083  2 O 1.51-1.55, 2 N 1.56
N: 0.0000 0.2132 0.4431  2 B 1.56
N: 0.0000 0.7868 0.9431  2 B 1.56
O: 0.5000 0.4038 0.8490  2 B 1.51-1.55
O: 0.5000 0.5962 0.3490  2 B 1.51-1.55

# 4
CoBNO after structural relaxation, computed with GGA+U.

Properties
DFT total energy (eV per atom): -7.07

Lattice parameters (Å, degrees): 2.7044 5.3132 4.6392 90.00 90.00 90.00
Last column: nearest neighbours and their distance in Å.
Sites, in units of the cell vectors:
Co: 0.0000 0.1666 0.0000  2 N 1.95, 2 O 2.02-2.05
Co: 0.0000 0.8334 0.5000  2 N 1.95, 2 O 2.02-2.05
B: 0.5000 0.3747 0.5232  2 N 1.48-1.49, 2 O 1.66
B: 0.5000 0.6253 0.0232  2 N 1.48-1.49, 2 O 1.66
N: 0.5000 0.3933 0.8447  2 B 1.48-1.49
N: 0.5000 0.6067 0.3447  2 B 1.48-1.49
O: 0.0000 0.2107 0.4387  2 B 1.66
O: 0.0000 0.7893 0.9387  2 B 1.66